ThZnIrN after structural relaxation, computed with GGA-PBE.

Cell lengths 3.9013, 3.9013, 8.8300 Å; angles 90.00, 90.00, 90.00 degrees
With the nearest neighbours (Å) after each atom.
Space group P4/nmm (No. 129, origin choice 2)
One atom of each set of equivalent atoms:
Th (0.2500, 0.2500, 0.1560) [2 per cell]  1 N 2.26
Zn (0.2500, 0.2500, 0.6761) [2 per cell]  1 N 1.97
Ir (0.2500, 0.7500, 0.5000) [2 per cell]  4 Zn 2.49, 4 Ir 2.76
N (0.2500, 0.2500, 0.8997) [2 per cell]  1 Zn 1.97

Calculated values
Formation energy without anion corrections (eV per atom): -0.638



GdAsO2 after structural relaxation, computed with GGA-PBE.

Cell lengths 3.5035, 3.5035, 19.3509 Å; angles 90.00, 90.00, 120.00 degrees
With the nearest neighbours (Å) after each atom.
Space group R-3m (No. 166, hexagonal axes)
One atom of each set of equivalent atoms:
Gd (0.0000, 0.0000, 0.0000) [3 per cell]  2 O 2.21
As (0.0000, 0.0000, 0.5000) [3 per cell]  6 O 2.26
O (0.0000, 0.0000, 0.1145) [6 per cell]  1 Gd 2.21, 3 As 2.26

Calculated values
Formation energy without anion corrections (eV per atom): -1.080



YSc2Cr after structural relaxation, computed with GGA-PBE.

Cell lengths 3.2979, 3.2979, 30.2390 Å; angles 90.00, 90.00, 120.00 degrees
With the nearest neighbours (Å) after each atom.
Space group R3m (No. 160, hexagonal axes)
One atom of each set of equivalent atoms:
Y (0.0000, 0.0000, 0.0000) [3 per cell]  3 Cr 3.04, 6 Y 3.30
Sc (0.0000, 0.0000, 0.5174) [3 per cell]  3 Cr 2.87
Sc (0.0000, 0.0000, 0.7614) [3 per cell]  9 Sc 3.30, 3 Y 3.44
Cr (0.0000, 0.0000, 0.2549) [3 per cell]  3 Sc 2.87, 3 Y 3.04

Calculated values
Excess energy over the best structure of this formula in the dataset (meV per atom): 180.6
Energy of formation (eV per atom): 0.36



SrCr2Se after structural relaxation, computed with GGA-PBE.

Cell lengths 4.2771, 4.2771, 11.0431 Å; angles 90.00, 90.00, 90.00 degrees
With the nearest neighbours (Å) after each atom.
Space group I4/mmm (No. 139)
One atom of each set of equivalent atoms:
Sr (0.0000, 0.0000, 0.0000) [2 per cell]  4 Se 3.02
Cr (0.0000, 0.5000, 0.2500) [4 per cell]  4 Cr 3.02
Se (0.0000, 0.0000, 0.5000) [2 per cell]  4 Sr 3.02

Calculated values
Formation energy without anion corrections (eV per atom): 0.336



PAu3 after structural relaxation, computed with GGA-PBE.

Cell lengths 2.9729, 2.9729, 9.1743 Å; angles 90.00, 90.00, 120.00 degrees
With the nearest neighbours (Å) after each atom.
Space group P-6m2 (No. 187)
One atom of each set of equivalent atoms:
P (0.0000, 0.0000, 0.0000) [1 per cell]  6 Au 2.78, 6 P 2.97
Au (0.0000, 0.0000, 0.5000) [1 per cell]  12 Au 2.95-2.97
Au (0.3333, 0.6667, 0.2378) [2 per cell]  3 P 2.78, 9 Au 2.95-2.97

Calculated values
Excess energy over the best structure of this formula in the dataset (meV per atom): 244.0
Energy of formation (eV per atom): 0.27



MgTi2Si2 after structural relaxation, computed with GGA-PBE.

Cell lengths 3.5223, 3.5223, 13.9586 Å; angles 90.00, 90.00, 90.00 degrees
With the nearest neighbours (Å) after each atom.
Space group I4/mmm (No. 139)
One atom of each set of equivalent atoms:
Mg (0.0000, 0.0000, 0.0000) [2 per cell]  8 Ti 2.92
Ti (0.0000, 0.0000, 0.3903) [4 per cell]  4 Si 2.63, 4 Mg 2.92
Si (0.0000, 0.5000, 0.2500) [4 per cell]  4 Si 2.49, 4 Ti 2.63

Calculated values
Formation energy without anion corrections (eV per atom): -0.061



ErTmAg2 after structural relaxation, computed with GGA-PBE.

Cell lengths 7.1951, 7.1951, 7.1951 Å; angles 90.00, 90.00, 90.00 degrees
With the nearest neighbours (Å) after each atom.
Space group Fm-3m (No. 225)
One atom of each set of equivalent atoms:
Er (0.0000, 0.0000, 0.0000) [4 per cell]  8 Ag 3.12
Tm (0.0000, 0.0000, 0.5000) [4 per cell]  8 Ag 3.12
Ag (0.2500, 0.2500, 0.2500) [8 per cell]  4 Er 3.12, 4 Tm 3.12

Calculated values
Excess energy over the best structure of this formula in the dataset (meV per atom): 3.1
Energy of formation (eV per atom): -0.33



Ca2AuBr after structural relaxation, computed with GGA-PBE.

Cell lengths 3.6790, 3.6790, 7.9619 Å; angles 90.00, 90.00, 90.00 degrees
With the nearest neighbours (Å) after each atom.
Space group P4/mmm (No. 123)
One atom of each set of equivalent atoms:
Ca (0.0000, 0.0000, 0.2163) [2 per cell]  4 Au 3.12, 1 Ca 3.44, 4 Br 3.45
Au (0.5000, 0.5000, 0.0000) [1 per cell]  8 Ca 3.12
Br (0.5000, 0.5000, 0.5000) [1 per cell]  8 Ca 3.45, 4 Br 3.68

Calculated values
Excess energy over the best structure of this formula in the dataset (meV per atom): 68.3
Formation energy without anion corrections (eV per atom): -1.040



Taking the records one at a time from the top gives density values of 12.45, 6.40, 4.04, 4.45, 14.71, 3.38, 9.84, 5.50 g/cm³.